# VNiIr2, optimized geometry, DFT PBE
data_VNiIr2
_space_group_name_H-M_alt 'I -4 2 d'
_space_group_IT_number 122
_space_group_name_Hall 'I -4 2bw'
_cell_length_a 6.678
_cell_length_b 6.678
_cell_length_c 5.328
_cell_angle_alpha 90.00
_cell_angle_beta 90.00
_cell_angle_gamma 90.00
loop_
_atom_site_label
_atom_site_type_symbol
_atom_site_fract_x
_atom_site_fract_y
_atom_site_fract_z
V1 V 0.000 0.000 0.000
Ni1 Ni 0.000 0.000 0.500
Ir1 Ir 0.231 0.750 0.125
# **Magnetic moment**: 0.00 μB per formula unit
# **DFT total energy**: -7.91 eV per atom
# **Calculated formation energy**: 0.995 eV/f.u.
# **DOS at the Fermi energy**: 1.404 states/eV/atom
# **Crystal system**: tetragonal